Entry 1:
# Li2Hf2Pd3

Li2Hf2Pd3 after structural relaxation (GGA-PBE, the Alexandria database).

* calculated total energy: -42.9 eV/cell
* energy of formation from the pure elements: -0.52 eV/atom

a = 3.367 Å, b = 3.146 Å, c = 11.912 Å
α = 90.00°, β = 81.87°, γ = 90.00°
Atoms (fractional coordinates):
Pd1 0.140 0.000 0.720
Pd2 0.860 0.000 0.280
Pd3 0.000 0.000 0.000
Hf1 0.426 0.500 0.149
Hf2 0.574 0.500 0.851
Li1 0.704 0.500 0.591
Li2 0.296 0.500 0.409


Entry 2:
# LiHfPdRh

LiHfPdRh after structural relaxation (GGA-PBE, the Alexandria database).

* ΔE to the lowest computed polymorph: 0 meV per atom
* calculated total energy: -27.3 eV/cell
* energy of formation from the pure elements: -0.72 eV/atom

a = 3.258 Å, b = 3.258 Å, c = 5.896 Å
α = 90.00°, β = 90.00°, γ = 90.00°
Atoms (fractional coordinates):
Rh1 0.500 0.500 0.104
Li1 0.000 0.000 0.856
Hf1 0.000 0.000 0.347
Pd1 0.500 0.500 0.622


Entry 3:
# LiHfPdRh

LiHfPdRh after structural relaxation (GGA-PBE, the Alexandria database).

* ΔE to the lowest computed polymorph: 42 meV per atom
* calculated total energy: -27.1 eV/cell
* energy of formation from the pure elements: -0.68 eV/atom

a = 4.455 Å, b = 4.455 Å, c = 4.455 Å
α = 60.00°, β = 60.00°, γ = 60.00°
Atoms (fractional coordinates):
Rh1 0.250 0.250 0.250
Pd1 0.750 0.750 0.750
Hf1 0.500 0.500 0.500
Li1 0.000 0.000 0.000